This record from Alexandria via LeMat-Bulk describes a relaxed CdPt2Br crystal. The functional is PBE.

Results
- magnetization (μB/f.u.) = 0.000
- raw total energy (eV per atom) = -3.51
- formation energy from raw total energies (kJ per mole of atoms) = 15.2

abc: 7.8094 7.8094 7.8094
angles: 26.89 26.89 26.89
Fractional coordinates of all 4 atoms:
Br 0.5153 0.5153 0.5153
Pt 0.9914 0.9914 0.9914
Pt 0.2547 0.2547 0.2547
Cd 0.7385 0.7385 0.7385



This record from Alexandria via LeMat-Bulk describes a relaxed Cd2PtBr crystal. The functional is PBE.

Results
- magnetization (μB/f.u.) = 0.000
- raw total energy (eV per atom) = -2.08
- formation energy from raw total energies (kJ per mole of atoms) = 29.1

abc: 4.9498 4.9498 4.9498
angles: 60.00 60.00 60.00
Fractional coordinates of all 4 atoms:
Br 0.5000 0.5000 0.5000
Pt 0.7500 0.7500 0.7500
Cd 0.0000 0.0000 0.0000
Cd 0.2500 0.2500 0.2500



This record from Alexandria via LeMat-Bulk describes a relaxed Cd2PtBr8 crystal. The functional is PBE.

Results
- magnetization (μB/f.u.) = 0.000
- raw total energy (eV per atom) = -2.47
- formation energy from raw total energies (kJ per mole of atoms) = -52.1

abc: 6.8655 8.3607 8.3607
angles: 53.19 92.81 92.81
Fractional coordinates of all 11 atoms:
Cd 0.5365 0.8433 0.8433
Cd 0.4635 0.1567 0.1567
Pt 0.0000 0.0000 0.0000
Br 0.2365 0.8235 0.2939
Br 0.2365 0.2939 0.8235
Br 0.7635 0.1765 0.7061
Br 0.4220 0.3258 0.3258
Br 0.7635 0.7061 0.1765
Br 0.1456 0.8495 0.8495
Br 0.8544 0.1505 0.1505
Br 0.5780 0.6742 0.6742



This record from Alexandria via LeMat-Bulk describes a relaxed CdPtBr5 crystal. The functional is PBE.

Results
- magnetization (μB/f.u.) = 0.000
- raw total energy (eV per atom) = -2.67
- formation energy from raw total energies (kJ per mole of atoms) = -46.4

abc: 6.9500 6.9500 10.4405
angles: 104.15 113.47 91.98
Fractional coordinates of all 14 atoms:
Cd 0.7025 0.9525 0.2500
Cd 0.2975 0.0475 0.7500
Pt 0.0000 0.0000 0.0000
Pt 0.0000 0.5000 0.5000
Br 0.2685 0.8225 0.1478
Br 0.2262 0.7752 0.4899
Br 0.3253 0.3793 0.6478
Br 0.9902 0.2402 0.2500
Br 0.2854 0.2364 0.0101
Br 0.7146 0.7636 0.9899
Br 0.0098 0.7598 0.7500
Br 0.6747 0.6207 0.3522
Br 0.7738 0.2248 0.5101
Br 0.7315 0.1775 0.8522



This record from Alexandria via LeMat-Bulk describes a relaxed CdPt2Br crystal. The functional is PBE.

Results
- magnetization (μB/f.u.) = 0.000
- raw total energy (eV per atom) = -3.62
- formation energy from raw total energies (kJ per mole of atoms) = 4.5

abc: 3.5133 3.5634 7.9706
angles: 63.51 90.00 90.00
Fractional coordinates of all 4 atoms:
Br 0.0000 0.1251 0.4948
Pt 0.0000 0.0781 0.0466
Pt 0.5000 0.4591 0.1657
Cd 0.5000 0.8377 0.7929



This record from Alexandria via LeMat-Bulk describes a relaxed Cd2PtBr crystal. The functional is PBE.

Results
- magnetization (μB/f.u.) = 0.000
- raw total energy (eV per atom) = -2.57
- formation energy from raw total energies (kJ per mole of atoms) = -17.8

abc: 5.0328 5.0328 6.7048
angles: 107.28 107.28 42.48
Fractional coordinates of all 4 atoms:
Br 0.6741 0.6741 0.7631
Pt 0.5818 0.5818 0.3579
Cd 0.9541 0.9541 0.0529
Cd 0.2900 0.2900 0.3261



- The highest raw total energy belongs to which entry?
  number 2



Repeat the second record exactly.
This record from Alexandria via LeMat-Bulk describes a relaxed Cd2PtBr crystal. The functional is PBE.

Results
- magnetization (μB/f.u.) = 0.000
- raw total energy (eV per atom) = -2.08
- formation energy from raw total energies (kJ per mole of atoms) = 29.1

abc: 4.9498 4.9498 4.9498
angles: 60.00 60.00 60.00
Fractional coordinates of all 4 atoms:
Br 0.5000 0.5000 0.5000
Pt 0.7500 0.7500 0.7500
Cd 0.0000 0.0000 0.0000
Cd 0.2500 0.2500 0.2500



- Among the records above, which one has the lowest raw total energy?
  number 5